# 1
KCaCo2 | PBE | relaxed

Unit cell a=4.8181 b=4.8181 c=19.6741 alpha=90.00 beta=90.00 gamma=90.00
Closest atoms and distances in Å follow each position.
Space group I4_1/amd (No. 141, origin choice 2)
Inequivalent atoms, fractional coordinates:
K 0.0000 0.2500 0.3750 [4 per cell]  4 Ca 3.41, 8 Co 3.65
Ca 0.0000 0.2500 0.8750 [4 per cell]  4 Co 2.74
Co 0.0000 0.0000 0.0000 [8 per cell]  2 Co 2.41

## Properties
ΔH_f (0 K) (eV/atom): 0.966
N(E_F) (states/eV/cell): 13.46
Offset from the most stable computed form (meV/atom): 642.4



# 2
Tb5Er | PBE | relaxed

Unit cell a=5.0112 b=15.0448 c=5.0120 alpha=90.00 beta=90.00 gamma=90.00
Closest atoms and distances in Å follow each position.
Space group Cmmm (No. 65)
Inequivalent atoms, fractional coordinates:
Tb 0.0000 0.0000 0.0000 [2 per cell]  8 Tb 3.54, 4 Er 3.54
Tb 0.0000 0.1662 0.5000 [4 per cell]  2 Er 3.54, 10 Tb 3.54-3.55
Tb 0.0000 0.3335 0.0000 [4 per cell]  10 Tb 3.54-3.55, 2 Er 3.54
Er 0.0000 0.5000 0.5000 [2 per cell]  12 Tb 3.54

## Properties
ΔH_f (0 K) (eV/atom): 0.016
N(E_F) (states/eV/cell): 15.95



# 3
Tb2Pm2Pt3 | PBE | relaxed

Unit cell a=13.3015 b=4.1988 c=7.2969 alpha=90.00 beta=100.09 gamma=90.00
Closest atoms and distances in Å follow each position.
Space group C2/m (No. 12)
Inequivalent atoms, fractional coordinates:
Tb 0.1296 0.0000 0.4056 [4 per cell]  5 Pt 2.84-2.91
Pm 0.1354 0.5000 0.8585 [4 per cell]  4 Pt 2.88-2.90
Pt 0.0000 0.5000 0.5000 [2 per cell]  4 Tb 2.88, 2 Pm 2.90
Pt 0.2373 0.5000 0.2439 [4 per cell]  3 Tb 2.84-2.91, 3 Pm 2.88-2.90

## Properties
ΔH_f (0 K) (eV/atom): -0.983
N(E_F) (states/eV/cell): 9.38
Offset from the most stable computed form (meV/atom): 60.3



# 4
Ge2AsO | PBE | relaxed

Unit cell a=5.0077 b=5.0077 c=12.5386 alpha=90.00 beta=90.00 gamma=90.00
Closest atoms and distances in Å follow each position.
Space group I-42d (No. 122)
Inequivalent atoms, fractional coordinates:
Ge 0.1613 0.2500 0.1250 [8 per cell]  2 O 2.16
As 0.0000 0.0000 0.5000 [4 per cell]  4 Ge 2.63
O 0.0000 0.0000 0.0000 [4 per cell]  4 Ge 2.16

## Properties
E_form (uncorrected) (eV per atom): -0.18
N(E_F) (states/eV/cell): 4.94
Offset from the most stable computed form (meV/atom): 0.0



# 5
MnAgMo | PBE | relaxed

Unit cell a=2.7651 b=2.7651 c=7.0938 alpha=90.00 beta=90.00 gamma=120.00
Closest atoms and distances in Å follow each position.
Space group P3m1 (No. 156)
Inequivalent atoms, fractional coordinates:
Mn 0.0000 0.0000 0.0000 [1 per cell]  3 Mo 2.72, 6 Mn 2.77, 3 Ag 2.84
Ag 0.3333 0.6667 0.6690 [1 per cell]  6 Ag 2.77, 3 Mn 2.84, 3 Mo 3.00
Mo 0.6667 0.3333 0.3104 [1 per cell]  3 Mn 2.72, 6 Mo 2.77, 3 Ag 3.00

## Properties
ΔH_f (0 K) (eV/atom): 0.448
N(E_F) (states/eV/cell): 3.43
Offset from the most stable computed form (meV/atom): 79.5



# 6
Ta2OsSe | PBE | relaxed

Unit cell a=3.1113 b=4.4647 c=9.5810 alpha=90.00 beta=90.00 gamma=90.00
Closest atoms and distances in Å follow each position.
Space group Imm2 (No. 44)
Inequivalent atoms, fractional coordinates:
Ta 0.0000 0.0000 0.0000 [2 per cell]  4 Se 2.73, 2 Os 2.85
Ta 0.0000 0.5000 0.2221 [2 per cell]  4 Os 2.73, 2 Se 2.83
Os 0.0000 0.5000 0.7496 [2 per cell]  2 Se 2.66, 6 Ta 2.73-2.85
Se 0.0000 0.0000 0.4751 [2 per cell]  2 Os 2.66, 6 Ta 2.73-2.83

## Properties
E_form (uncorrected) (eV per atom): 0.03
N(E_F) (states/eV/cell): 4.99